1.
A PBEsol-optimized structure of Li2AuSe, computed with meta-GGA SCAN.

Cell: 4.461 4.461 4.461 Å, 60.00 60.00 60.00°
Element x y z (fractional)
Au  0.000  0.000  0.000
Se  0.500  0.500  0.500
Li  0.250  0.250  0.250
Li  0.750  0.750  0.750

Output
The value obtained for the total energy is -24.213 eV per atom. For the energy relative to the elements, uncorrected, the calculation gives -0.709 eV/atom. The calculated density comes out at 7.666 g cm⁻³.

=====

2.
A PBEsol-optimized structure of SmGe4Rh6, computed with meta-GGA SCAN.

Cell: 3.820 7.107 7.107 Å, 120.00 90.00 90.00°
Element x y z (fractional)
Sm  0.000  0.000  0.000
Ge  0.000  0.667  0.333
Ge  0.500  0.198  0.802
Ge  0.500  0.605  0.802
Ge  0.500  0.198  0.395
Rh  0.000  0.467  0.533
Rh  0.000  0.067  0.533
Rh  0.000  0.467  0.933
Rh  0.500  0.800  0.200
Rh  0.500  0.400  0.200
Rh  0.500  0.800  0.600

Output
The value obtained for the total energy is -30.274 eV per atom. The formation energy is -0.872 eV/atom. The calculated density comes out at 10.517 g cm⁻³.

=====

3.
A PBEsol-optimized structure of Re2MoSe, computed with meta-GGA SCAN.

Cell: 3.745 3.745 5.011 Å, 111.94 111.94 90.00°
Element x y z (fractional)
Mo  0.250  0.750  0.500
Re  0.000  0.000  0.000
Re  0.750  0.250  0.500
Se  0.500  0.500  0.000

Output
The value obtained for the total energy is -48.546 eV per atom. For the energy relative to the elements, uncorrected, the calculation gives 0.744 eV/atom. The calculated density comes out at 15.232 g cm⁻³.

=====

4.
A PBEsol-optimized structure of GaReBr2, computed with meta-GGA SCAN.

Cell: 4.647 4.647 4.647 Å, 60.00 60.00 60.00°
Element x y z (fractional)
Re  0.500  0.500  0.500
Ga  0.000  0.000  0.000
Br  0.250  0.250  0.250
Br  0.750  0.750  0.750

Output
The value obtained for the total energy is -30.272 eV per atom. For the energy relative to the elements, uncorrected, the calculation gives 1.319 eV/atom. The calculated density comes out at 9.727 g cm⁻³.

=====

5.
A PBEsol-optimized structure of TaCuRu2, computed with meta-GGA SCAN.

Cell: 3.138 3.138 5.668 Å, 90.00 90.00 90.00°
Element x y z (fractional)
Ru  0.000  0.000  0.735
Ru  0.000  0.000  0.265
Cu  0.500  0.500  0.500
Ta  0.500  0.500  0.000

Output
The value obtained for the total energy is -38.042 eV per atom. The formation energy is -0.184 eV/atom. The calculated density comes out at 13.290 g cm⁻³.

=====

6.
A PBEsol-optimized structure of BaLaAu2, computed with meta-GGA SCAN.

Cell: 3.818 3.817 7.737 Å, 90.00 89.98 90.00°
Element x y z (fractional)
Au  0.000  0.000  0.705
Au  0.000  0.000  0.295
Ba  0.500  0.500  0.000
La  0.500  0.500  0.500

Output
The value obtained for the total energy is -56.182 eV per atom. The formation energy is -0.940 eV/atom. The calculated density comes out at 9.870 g cm⁻³.

=====

7.
A PBEsol-optimized structure of Ba3TaH, computed with meta-GGA SCAN.

Cell: 6.007 6.007 6.007 Å, 90.00 90.00 90.00°
Element x y z (fractional)
H  0.500  0.500  0.500
Ba  0.000  0.500  0.000
Ba  0.000  0.000  0.500
Ba  0.500  0.000  0.000
Ta  0.000  0.000  0.000

Output
The value obtained for the total energy is -36.640 eV per atom. The calculated density comes out at 4.549 g cm⁻³.

=====

8.
A PBEsol-optimized structure of Cu5Ni, computed with meta-GGA SCAN.

Cell: 2.503 4.800 5.958 Å, 105.32 90.00 105.11°
Element x y z (fractional)
Cu  0.001  0.002  0.000
Cu  0.667  0.334  0.332
Cu  0.333  0.666  0.669
Cu  0.388  0.776  0.275
Cu  0.056  0.113  0.613
Ni  0.722  0.444  0.944

Output
The value obtained for the total energy is -15.328 eV per atom. The formation energy is 0.034 eV/atom. The calculated density comes out at 9.404 g cm⁻³.

=====

9.
A PBEsol-optimized structure of MnSiPt, computed with meta-GGA SCAN.

Cell: 2.799 4.118 4.118 Å, 120.00 90.00 90.00°
Element x y z (fractional)
Si  0.500  0.667  0.333
Mn  0.000  0.000  0.000
Pt  0.500  0.333  0.667

Output
The value obtained for the total energy is -33.551 eV per atom. For the energy relative to the elements, uncorrected, the calculation gives -0.730 eV/atom. The calculated density comes out at 11.236 g cm⁻³.

=====

10.
A PBEsol-optimized structure of CaLaCo, computed with meta-GGA SCAN.

Cell: 4.646 4.646 4.646 Å, 60.00 60.00 60.00°
Element x y z (fractional)
Ca  0.250  0.250  0.250
Co  0.000  0.000  0.000
La  0.500  0.500  0.500

Output
The value obtained for the total energy is -22.287 eV per atom. The formation energy is 1.070 eV/atom. The offset from the most stable computed form is 95.60 kJ/mol of atoms. The calculated density comes out at 5.573 g cm⁻³.

=====

11.
A PBEsol-optimized structure of Ni2BiSe, computed with meta-GGA SCAN.

Cell: 4.504 4.504 4.504 Å, 60.00 60.00 60.00°
Element x y z (fractional)
Ni  0.250  0.250  0.250
Ni  0.750  0.750  0.750
Bi  0.500  0.500  0.500
Se  0.000  0.000  0.000

Output
The value obtained for the total energy is -32.404 eV per atom. For the energy relative to the elements, uncorrected, the calculation gives 0.347 eV/atom. The calculated density comes out at 10.421 g cm⁻³.

=====

12.
A PBEsol-optimized structure of TiCuNi2, computed with meta-GGA SCAN.

Cell: 3.635 3.635 4.352 Å, 114.68 114.68 90.00°
Element x y z (fractional)
Ni  0.250  0.750  0.500
Ni  0.750  0.250  0.500
Cu  0.000  0.000  0.000
Ti  0.500  0.500  0.000

Output
The value obtained for the total energy is -16.263 eV per atom. The formation energy is -0.369 eV/atom. The calculated density comes out at 8.189 g cm⁻³.

=====

13.
A PBEsol-optimized structure of NiHg2Mo, computed with meta-GGA SCAN.

Cell: 2.876 2.876 7.995 Å, 90.00 90.00 90.00°
Element x y z (fractional)
Hg  0.000  0.000  0.960
Hg  0.500  0.500  0.272
Mo  0.000  0.000  0.541
Ni  0.500  0.500  0.728

Output
The value obtained for the total energy is -46.550 eV per atom. The formation energy is 0.297 eV/atom. The offset from the most stable computed form is 0.00 kJ/mol of atoms. The calculated density comes out at 13.955 g cm⁻³.

=====

14.
A PBEsol-optimized structure of KCaRh2, computed with meta-GGA SCAN.

Cell: 4.816 4.816 4.816 Å, 60.00 60.00 60.00°
Element x y z (fractional)
Ca  0.000  0.000  0.000
K  0.500  0.500  0.500
Rh  0.250  0.250  0.250
Rh  0.750  0.750  0.750

Output
The value obtained for the total energy is -20.852 eV per atom. The formation energy is 0.531 eV/atom. The offset from the most stable computed form is 46.88 kJ/mol of atoms. The calculated density comes out at 5.990 g cm⁻³.

=====

15.
A PBEsol-optimized structure of ScCr4Mo, computed with meta-GGA SCAN.

Cell: 4.834 4.834 4.834 Å, 60.00 60.00 60.00°
Element x y z (fractional)
Sc  0.000  0.000  0.000
Cr  0.625  0.625  0.126
Cr  0.126  0.625  0.625
Cr  0.625  0.126  0.625
Cr  0.625  0.625  0.625
Mo  0.250  0.250  0.250

Output
The value obtained for the total energy is -20.360 eV per atom. The formation energy is 0.083 eV/atom. The calculated density comes out at 7.251 g cm⁻³.

=====

16.
A PBEsol-optimized structure of LiTa2Te, computed with meta-GGA SCAN.

Cell: 3.137 4.709 5.741 Å, 113.44 104.74 92.61°
Element x y z (fractional)
Li  0.500  0.500  0.000
Ta  0.000  0.000  0.500
Ta  0.500  0.500  0.500
Te  0.000  0.000  0.000

Output
The value obtained for the total energy is -42.850 eV per atom. For the energy relative to the elements, uncorrected, the calculation gives 0.352 eV/atom. The calculated density comes out at 11.109 g cm⁻³.

=====

17.
A PBEsol-optimized structure of Mg2AlCr3S8, computed with meta-GGA SCAN.

Cell: 7.122 7.122 7.122 Å, 60.23 60.23 60.23°
Element x y z (fractional)
Mg  0.876  0.876  0.876
Mg  0.124  0.124  0.124
Al  0.500  0.500  0.500
Cr  0.500  0.500  0.000
Cr  0.000  0.500  0.500
Cr  0.500  0.000  0.500
S  0.736  0.736  0.736
S  0.262  0.262  0.710
S  0.262  0.710  0.262
S  0.710  0.262  0.262
S  0.738  0.290  0.738
S  0.290  0.738  0.738
S  0.264  0.264  0.264
S  0.738  0.738  0.290

Output
The value obtained for the total energy is -12.034 eV per atom. For the energy relative to the elements, uncorrected, the calculation gives -1.329 eV/atom. The calculated density comes out at 3.157 g cm⁻³.

=====

18.
A PBEsol-optimized structure of Mg2Sc, computed with meta-GGA SCAN.

Cell: 4.746 6.185 9.188 Å, 90.00 90.00 90.00°
Element x y z (fractional)
Mg  0.750  0.421  0.758
Mg  0.250  0.079  0.258
Mg  0.750  0.921  0.742
Mg  0.250  0.579  0.242
Mg  0.750  0.347  0.088
Mg  0.250  0.153  0.588
Mg  0.750  0.847  0.412
Mg  0.250  0.653  0.912
Sc  0.750  0.852  0.079
Sc  0.250  0.648  0.579
Sc  0.750  0.352  0.421
Sc  0.250  0.148  0.921

Output
The value obtained for the total energy is -8.076 eV per atom. The formation energy is -0.014 eV/atom. The calculated density comes out at 2.304 g cm⁻³.

=====

19.
A PBEsol-optimized structure of TaWS2N, computed with meta-GGA SCAN.

Cell: 3.720 4.719 4.719 Å, 90.00 90.00 90.00°
Element x y z (fractional)
S  0.000  0.000  0.500
S  0.000  0.500  0.000
N  0.500  0.000  0.000
W  0.000  0.000  0.000
Ta  0.500  0.500  0.500

Output
The value obtained for the total energy is -32.361 eV per atom. For the energy relative to the elements, uncorrected, the calculation gives 0.603 eV/atom. The calculated density comes out at 8.876 g cm⁻³.

=====

20.
A PBEsol-optimized structure of Li2FeAu, computed with meta-GGA SCAN.

Cell: 2.638 4.707 5.181 Å, 115.86 102.86 94.06°
Element x y z (fractional)
Au  0.500  0.000  0.000
Fe  0.000  0.500  0.000
Li  0.000  0.000  0.500
Li  0.500  0.500  0.500

Output
The value obtained for the total energy is -23.153 eV per atom. The formation energy is -0.137 eV/atom. The calculated density comes out at 7.993 g cm⁻³.

=====

21.
A PBEsol-optimized structure of RbPH, computed with meta-GGA SCAN.

Cell: 5.114 6.179 6.035 Å, 89.70 69.80 65.91°
Element x y z (fractional)
P  0.459  0.984  0.726
P  0.166  0.260  0.041
Rb  0.854  0.870  0.095
Rb  0.800  0.365  0.638
H  0.375  0.346  0.086
H  0.437  0.124  0.532

Output
The value obtained for the total energy is -11.931 eV per atom. The calculated density comes out at 2.418 g cm⁻³.

=====

22.
A PBEsol-optimized structure of Li2SiAg, computed with meta-GGA SCAN.

Cell: 2.794 2.794 8.991 Å, 81.06 81.06 60.00°
Element x y z (fractional)
Si  0.500  0.500  0.500
Ag  0.000  0.000  0.000
Li  0.247  0.247  0.259
Li  0.753  0.753  0.741

Output
The value obtained for the total energy is -11.592 eV per atom. For the energy relative to the elements, uncorrected, the calculation gives -0.052 eV/atom. The calculated density comes out at 4.161 g cm⁻³.

=====

23.
A PBEsol-optimized structure of LaZrPb2, computed with meta-GGA SCAN.

Cell: 3.387 4.383 7.020 Å, 90.00 91.39 90.00°
Element x y z (fractional)
La  0.500  0.500  0.500
Pb  0.001  0.000  0.777
Pb  0.999  0.000  0.223
Zr  0.500  0.500  0.000

Output
The value obtained for the total energy is -56.866 eV per atom. The formation energy is -0.525 eV/atom. The calculated density comes out at 10.270 g cm⁻³.

=====

24.
A PBEsol-optimized structure of RbBa2Br5, computed with meta-GGA SCAN.

Cell: 8.555 9.715 13.688 Å, 90.09 90.00 90.00°
Element x y z (fractional)
Br  0.171  0.458  0.907
Br  0.829  0.542  0.093
Br  0.671  0.542  0.592
Br  0.329  0.458  0.408
Br  0.830  0.781  0.814
Br  0.170  0.219  0.186
Br  0.330  0.219  0.686
Br  0.670  0.781  0.314
Br  0.303  0.767  0.720
Br  0.697  0.233  0.280
Br  0.803  0.233  0.780
Br  0.197  0.767  0.220
Br  0.457  0.776  0.998
Br  0.543  0.224  0.002
Br  0.957  0.224  0.502
Br  0.043  0.776  0.498
Br  0.664  0.959  0.599
Br  0.336  0.041  0.401
Br  0.164  0.041  0.901
Br  0.836  0.959  0.099
Ba  0.027  0.000  0.677
Ba  0.973  0.000  0.323
Ba  0.527  0.000  0.823
Ba  0.473  0.000  0.177
Ba  0.074  0.748  0.992
Ba  0.926  0.252  0.008
Ba  0.574  0.252  0.508
Ba  0.426  0.748  0.492
Rb  0.043  0.491  0.670
Rb  0.957  0.509  0.330
Rb  0.543  0.509  0.830
Rb  0.457  0.491  0.170

Output
The value obtained for the total energy is -26.989 eV per atom. For the energy relative to the elements, uncorrected, the calculation gives -2.347 eV/atom. The calculated density comes out at 4.435 g cm⁻³.

=====

25.
A PBEsol-optimized structure of KZr2ScCr, computed with meta-GGA SCAN.

Cell: 4.855 4.855 5.325 Å, 90.00 90.00 90.00°
Element x y z (fractional)
Sc  0.000  0.000  0.500
Cr  0.000  0.000  0.000
K  0.500  0.500  0.500
Zr  0.000  0.500  0.000
Zr  0.500  0.000  0.000

Output
The value obtained for the total energy is -19.754 eV per atom. The formation energy is 0.716 eV/atom. The calculated density comes out at 4.214 g cm⁻³.

=====

26.
A PBEsol-optimized structure of Zr2SnGeBi, computed with meta-GGA SCAN.

Cell: 5.316 5.316 5.510 Å, 90.00 90.00 90.00°
Element x y z (fractional)
Ge  0.500  0.500  0.500
Bi  0.000  0.000  0.500
Zr  0.000  0.500  0.000
Zr  0.500  0.000  0.000
Sn  0.000  0.000  0.000

Output
The value obtained for the total energy is -37.966 eV per atom. The formation energy is 1.031 eV/atom. The calculated density comes out at 6.216 g cm⁻³.

=====

27.
A PBEsol-optimized structure of CaBe2Ge2, computed with meta-GGA SCAN.

Cell: 3.970 3.970 5.695 Å, 110.40 110.40 90.00°
Element x y z (fractional)
Be  0.250  0.750  0.500
Be  0.750  0.250  0.500
Ge  0.373  0.373  0.747
Ge  0.627  0.627  0.253
Ca  0.000  0.000  0.000

Output
The value obtained for the total energy is -11.601 eV per atom. The formation energy is -0.292 eV/atom. The offset from the most stable computed form is 2.47 kJ/mol of atoms. The calculated density comes out at 4.324 g cm⁻³.